# 1
BaZn2Re | GGA-PBE | optimized geometry

Unit cell a=9.6319 b=9.6319 c=9.6319 alpha=150.43 beta=150.43 gamma=42.30
Last column: nearest neighbours and their distance in Å.
Element x y z (fractional)
Ba: 0.0000 0.0000 0.0000  4 Re 3.48, 8 Zn 3.54-3.55
Ba: 0.7500 0.2500 0.5000  4 Re 3.48, 8 Zn 3.54-3.55
Zn: 0.3735 0.6250 0.2485  2 Zn 2.46, 2 Re 2.56
Zn: 0.3750 0.6235 0.7485  2 Zn 2.46, 2 Re 2.56
Zn: 0.3765 0.1250 0.7515  2 Zn 2.46, 2 Re 2.56
Zn: 0.8750 0.6265 0.2515  2 Zn 2.46, 2 Re 2.56
Re: 0.2500 0.7500 0.5000  4 Zn 2.56
Re: 0.5000 0.5000 0.0000  4 Zn 2.56

## Properties
Total magnetic moment, μB per formula unit: 0.98
Total DFT energy (no corrections), eV for the cell shown: -28.61
Theoretical density, Mg/m³: 6.953
Space group: I-42d

=====

# 2
MnIn2P | GGA-PBE | optimized geometry

Unit cell a=5.4111 b=5.4111 c=5.4111 alpha=134.63 beta=134.63 gamma=66.10
Last column: nearest neighbours and their distance in Å.
Element x y z (fractional)
Mn: 0.0000 0.0000 0.0000  8 In 2.95-3.08, 4 P 3.08
In: 0.5000 0.5000 0.0000  4 Mn 2.95, 4 In 3.08, 4 P 3.08
In: 0.7500 0.2500 0.5000  4 P 2.95, 4 Mn 3.08, 4 In 3.08
P: 0.2500 0.7500 0.5000  8 In 2.95-3.08, 4 Mn 3.08

## Properties
Total magnetic moment, μB per formula unit: 3.74
Total DFT energy (no corrections), eV for the cell shown: -18.76
Theoretical density, Mg/m³: 6.632
Space group: I-4m2

=====

What did the second record say?
MnIn2P | GGA-PBE | optimized geometry

Unit cell a=5.4111 b=5.4111 c=5.4111 alpha=134.63 beta=134.63 gamma=66.10
Last column: nearest neighbours and their distance in Å.
Element x y z (fractional)
Mn: 0.0000 0.0000 0.0000  8 In 2.95-3.08, 4 P 3.08
In: 0.5000 0.5000 0.0000  4 Mn 2.95, 4 In 3.08, 4 P 3.08
In: 0.7500 0.2500 0.5000  4 P 2.95, 4 Mn 3.08, 4 In 3.08
P: 0.2500 0.7500 0.5000  8 In 2.95-3.08, 4 Mn 3.08

## Properties
Total magnetic moment, μB per formula unit: 3.74
Total DFT energy (no corrections), eV for the cell shown: -18.76
Theoretical density, Mg/m³: 6.632
Space group: I-4m2

=====

Copy entry 1 word for word.
BaZn2Re | GGA-PBE | optimized geometry

Unit cell a=9.6319 b=9.6319 c=9.6319 alpha=150.43 beta=150.43 gamma=42.30
Last column: nearest neighbours and their distance in Å.
Element x y z (fractional)
Ba: 0.0000 0.0000 0.0000  4 Re 3.48, 8 Zn 3.54-3.55
Ba: 0.7500 0.2500 0.5000  4 Re 3.48, 8 Zn 3.54-3.55
Zn: 0.3735 0.6250 0.2485  2 Zn 2.46, 2 Re 2.56
Zn: 0.3750 0.6235 0.7485  2 Zn 2.46, 2 Re 2.56
Zn: 0.3765 0.1250 0.7515  2 Zn 2.46, 2 Re 2.56
Zn: 0.8750 0.6265 0.2515  2 Zn 2.46, 2 Re 2.56
Re: 0.2500 0.7500 0.5000  4 Zn 2.56
Re: 0.5000 0.5000 0.0000  4 Zn 2.56

## Properties
Total magnetic moment, μB per formula unit: 0.98
Total DFT energy (no corrections), eV for the cell shown: -28.61
Theoretical density, Mg/m³: 6.953
Space group: I-42d

=====

Repeat the first record exactly.
BaZn2Re | GGA-PBE | optimized geometry

Unit cell a=9.6319 b=9.6319 c=9.6319 alpha=150.43 beta=150.43 gamma=42.30
Last column: nearest neighbours and their distance in Å.
Element x y z (fractional)
Ba: 0.0000 0.0000 0.0000  4 Re 3.48, 8 Zn 3.54-3.55
Ba: 0.7500 0.2500 0.5000  4 Re 3.48, 8 Zn 3.54-3.55
Zn: 0.3735 0.6250 0.2485  2 Zn 2.46, 2 Re 2.56
Zn: 0.3750 0.6235 0.7485  2 Zn 2.46, 2 Re 2.56
Zn: 0.3765 0.1250 0.7515  2 Zn 2.46, 2 Re 2.56
Zn: 0.8750 0.6265 0.2515  2 Zn 2.46, 2 Re 2.56
Re: 0.2500 0.7500 0.5000  4 Zn 2.56
Re: 0.5000 0.5000 0.0000  4 Zn 2.56

## Properties
Total magnetic moment, μB per formula unit: 0.98
Total DFT energy (no corrections), eV for the cell shown: -28.61
Theoretical density, Mg/m³: 6.953
Space group: I-42d

=====

> The highest total DFT energy (no corrections) belongs to which entry?

MnIn2P